Density functional theory data (PBE) for a relaxed structure of CeY2Sb3. Values from VASP.

As for the magnetic moment: 0.1242 μB per atom. Its symmetry is Immm. The total energy comes out at -6.330 eV/atom. The calculation puts the energy above the most stable polymorph in this dataset at 0.000 eV/f.u. The value obtained for the formation energy from raw total energies is -1.1249 eV/atom.

```
&SYSTEM
  ibrav = 0, nat = 6, ntyp = 3
/
ATOMIC_SPECIES
Ce 140.12 Ce.upf
Y 88.91 Y.upf
Sb 121.76 Sb.upf
CELL_PARAMETERS angstrom
-2.212 3.132 6.640
2.212 -3.132 6.640
2.212 3.132 -6.640
ATOMIC_POSITIONS angstrom
Ce 0.000 0.000 0.000
Y 0.000 0.000 4.438
Y 0.000 0.000 8.842
Sb 2.212 0.000 2.247
Sb 0.000 3.132 0.000
Sb 0.000 3.132 4.393
```